Arrangement A

DFT (GGA-PBEsol) results for a geometry-optimized Re2TcIr structure.

```
Re2TcIr
1.0
4.5257 -1.3564 0.0000
4.5257 1.3564 0.0000
-0.8202 0.0000 4.6557
Re Tc Ir
2 1 1
Cartesian
0.0000 0.0000 0.0000 Re
1.6512 0.0000 3.4630 Re
4.1194 0.0000 2.3370 Tc
6.5784 0.0000 1.1460 Ir
```

Properties
For the spin magnetization, the calculation gives 0.0 μB per formula unit.


Arrangement B

DFT (GGA-PBEsol) results for a geometry-optimized Re2TcIr structure.

```
Re2TcIr
1.0
2.7153 0.0000 0.0000
0.0000 3.8609 0.0000
0.0000 0.0000 5.4517
Re Tc Ir
2 1 1
Cartesian
0.0000 0.0000 1.3232 Re
0.0000 0.0000 4.1285 Re
1.3576 1.9304 0.0000 Tc
1.3576 1.9304 2.7258 Ir
```

Properties
For the spin magnetization, the calculation gives 0.0 μB per formula unit.


We find arrangement B to be the most stable, with the next structure 1.2 kJ/mol of atoms higher.


Arrangement A

DFT (GGA-PBEsol) results for a geometry-optimized Re2TcIr structure.

```
Re2TcIr
1.0
2.7146 0.0000 0.0000
0.0000 3.8667 0.0000
0.0000 0.0000 5.4576
Re Tc Ir
2 1 1
Cartesian
0.0000 0.0000 0.0000 Re
1.3573 1.9333 1.3705 Re
0.0000 0.0000 2.6764 Tc
1.3573 1.9333 4.0746 Ir
```

Properties
For the spin magnetization, the calculation gives 0.0 μB per formula unit.


Arrangement B

DFT (GGA-PBEsol) results for a geometry-optimized Re2TcIr structure.

```
Re2TcIr
1.0
1.3618 0.7862 8.9206
-1.3618 0.7862 8.9206
0.0000 -1.5725 8.9206
Re Tc Ir
2 1 1
Cartesian
0.0000 0.0000 0.0000 Re
0.0000 0.0000 6.6590 Re
0.0000 0.0000 20.0260 Tc
0.0000 0.0000 13.3527 Ir
```

Properties
For the spin magnetization, the calculation gives 0.0 μB per formula unit.


We find arrangement A to be the most stable, with the next structure 4.4 kJ/mol of atoms higher.


Arrangement A

DFT (GGA-PBEsol) results for a geometry-optimized Re2TcIr structure.

```
Re2TcIr
1.0
0.0000 3.0764 3.0764
3.0764 0.0000 3.0764
3.0764 3.0764 0.0000
Re Tc Ir
2 1 1
Cartesian
0.0000 0.0000 0.0000 Re
1.5382 1.5382 1.5382 Re
4.6146 4.6146 4.6146 Tc
3.0764 3.0764 3.0764 Ir
```

Properties
For the spin magnetization, the calculation gives 0.4 μB per formula unit.


Arrangement B

DFT (GGA-PBEsol) results for a geometry-optimized Re2TcIr structure.

```
Re2TcIr
1.0
2.7233 0.0000 0.0000
0.0000 2.7233 0.0000
0.0000 0.0000 7.7313
Re Tc Ir
2 1 1
Cartesian
0.0000 0.0000 0.0000 Re
1.3617 1.3617 1.9795 Re
0.0000 0.0000 3.8564 Tc
1.3617 1.3617 5.8266 Ir
```

Properties
For the spin magnetization, the calculation gives 0.0 μB per formula unit.


We find arrangement B to be the most stable, with the next structure 42.7 kJ/mol of atoms higher.


Arrangement A

DFT (GGA-PBEsol) results for a geometry-optimized TlRe2Ir structure.

```
TlRe2Ir
1.0
3.0642 0.0000 0.0000
0.0000 4.3932 0.0000
0.0000 0.0000 4.7695
Tl Re Ir
1 2 1
Cartesian
0.0000 0.0000 0.0000 Tl
0.0000 2.1966 2.3848 Re
1.5321 0.0000 2.3848 Re
1.5321 2.1966 0.0000 Ir
```

Properties
For the spin magnetization, the calculation gives 0.0 μB per formula unit.


Arrangement B

DFT (GGA-PBEsol) results for a geometry-optimized TlRe2Ir structure.

```
TlRe2Ir
1.0
2.7792 0.0000 0.0000
0.0000 2.7792 0.0000
0.0000 0.0000 8.2591
Tl Re Ir
1 2 1
Cartesian
0.0000 0.0000 0.0000 Tl
1.3896 1.3896 2.2535 Re
1.3896 1.3896 6.0056 Re
0.0000 0.0000 4.1295 Ir
```

Properties
For the spin magnetization, the calculation gives 0.0 μB per formula unit.


We find arrangement B to be the most stable, with the next structure 22.5 kJ/mol of atoms higher.


Arrangement A

DFT (GGA-PBEsol) results for a geometry-optimized YReIr2 structure.

```
YReIr2
1.0
4.6493 -1.3940 0.0000
4.6493 1.3940 0.0000
-0.8161 0.0000 5.1174
Y Re Ir
1 1 2
Cartesian
0.0000 0.0000 0.0000 Y
4.2412 0.0000 2.5587 Re
1.6933 0.0000 3.6275 Ir
6.7891 0.0000 1.4899 Ir
```

Properties
For the spin magnetization, the calculation gives 0.0 μB per formula unit.


Arrangement B

DFT (GGA-PBEsol) results for a geometry-optimized YReIr2 structure.

```
YReIr2
1.0
2.8721 0.0000 0.0000
0.0000 2.8721 0.0000
0.0000 0.0000 7.9166
Y Re Ir
1 1 2
Cartesian
0.0000 0.0000 0.0000 Y
0.0000 0.0000 3.9583 Re
1.4361 1.4361 2.2266 Ir
1.4361 1.4361 5.6900 Ir
```

Properties
For the spin magnetization, the calculation gives 0.0 μB per formula unit.


We find arrangement B to be the most stable, with the next structure 31.3 kJ/mol of atoms higher.


Arrangement A

DFT (GGA-PBEsol) results for a geometry-optimized ZrRe2Ir structure.

```
ZrRe2Ir
1.0
2.7382 0.0000 0.0000
0.0000 2.7382 0.0000
0.0000 0.0000 8.4551
Zr Re Ir
1 2 1
Cartesian
0.0000 0.0000 0.0000 Zr
1.3691 1.3691 2.3246 Re
1.3691 1.3691 6.1306 Re
0.0000 0.0000 4.2276 Ir
```

Properties
For the spin magnetization, the calculation gives 0.0 μB per formula unit.


Arrangement B

DFT (GGA-PBEsol) results for a geometry-optimized ZrRe2Ir structure.

```
ZrRe2Ir
1.0
3.8639 0.0000 0.0000
0.0000 3.8639 0.0000
0.0000 0.0000 4.2234
Zr Re Ir
1 2 1
Cartesian
0.0000 0.0000 0.0000 Zr
0.0000 1.9320 2.1117 Re
1.9320 0.0000 2.1117 Re
1.9320 1.9320 0.0000 Ir
```

Properties
For the spin magnetization, the calculation gives 0.0 μB per formula unit.


We find arrangement B to be the most stable, with the next structure 12.0 kJ/mol of atoms higher.